Density functional theory data (GGA-PBE) for a relaxed structure of TbSmAsO.

Structure (POSCAR):
```
TbSmAsO
1.0
4.177 0.000 0.000
0.000 7.894 0.000
0.000 0.000 5.822
As O Sm Tb
2 2 2 2
direct
0.000 0.849 0.433 As
0.000 0.151 0.933 As
0.500 0.324 0.387 O
0.500 0.676 0.887 O
0.500 0.617 0.495 Sm
0.500 0.383 0.995 Sm
0.000 0.208 0.439 Tb
0.000 0.792 0.939 Tb
```

Calculated values
SG = No. 26

***

Density functional theory data (GGA-PBE) for a relaxed structure of TbSmAsO.

Structure (POSCAR):
```
TbSmAsO
1.0
-0.545 3.609 2.188
-5.881 -3.165 3.755
3.780 -1.997 4.236
As O Sm Tb
2 2 2 2
direct
0.000 0.833 0.429 As
0.000 0.167 0.929 As
0.500 0.333 0.375 O
0.500 0.667 0.875 O
0.000 0.207 0.437 Sm
0.000 0.793 0.937 Sm
0.500 0.389 0.012 Tb
0.500 0.611 0.512 Tb
```

Calculated values
SG = No. 26

***

Density functional theory data (GGA-PBE) for a relaxed structure of TbSmAsO.

Structure (POSCAR):
```
TbSmAsO
1.0
4.325 0.000 0.000
0.000 4.325 0.000
0.000 0.000 9.061
As O Sm Tb
2 2 2 2
direct
0.750 0.750 0.286 As
0.250 0.250 0.714 As
0.750 0.250 0.000 O
0.250 0.750 0.000 O
0.750 0.250 0.500 Sm
0.250 0.750 0.500 Sm
0.250 0.250 0.100 Tb
0.750 0.750 0.900 Tb
```

Calculated values
SG = No. 129

***

Density functional theory data (GGA-PBE) for a relaxed structure of TbSmAsO.

Structure (POSCAR):
```
TbSmAsO
1.0
4.322 0.000 0.000
0.000 4.322 0.000
0.000 0.000 9.076
As O Sm Tb
2 2 2 2
direct
0.000 0.500 0.286 As
0.500 0.000 0.714 As
0.000 0.000 0.000 O
0.500 0.500 0.000 O
0.000 0.000 0.500 Sm
0.500 0.500 0.500 Sm
0.500 0.000 0.099 Tb
0.000 0.500 0.901 Tb
```

Calculated values
SG = No. 129

***

Raw total energy, respectively: -6.672, -6.700, -6.581, -6.577 eV per atom.
Ρ, respectively: 6.9, 6.8, 7.8, 7.8 g cm⁻³.